Run w
Compound: Sr2ZrTc
Source: Alexandria
Functional: PBE
Structure: relaxed

abc: 19.0670 3.4175 4.1944
angles: 90.00 102.65 90.00
Space group C2/m (No. 12)
Asymmetric unit:
Sr1 0.1548 0.0000 0.1543 x4
Zr1 0.0000 0.0000 0.5000 x2
Tc1 0.0000 0.5000 0.0000 x2

Summary:
total magnetic moment = 0.000 μB/f.u.


Run x
Compound: Sr2ZrTc
Source: Alexandria
Functional: PBE
Structure: relaxed

abc: 7.6749 4.4298 8.8316
angles: 90.00 106.69 90.00
Space group Cm (No. 8)
Asymmetric unit:
Sr1 0.0000 0.0000 0.0000 x2
Sr2 0.1836 0.0000 0.5560 x2
Zr1 0.4253 0.0000 0.2784 x2
Tc1 0.2588 0.5000 0.2787 x2

Summary:
total magnetic moment = 0.000 μB/f.u.


Run y
Compound: Sr2ZrTc
Source: Alexandria
Functional: PBE
Structure: relaxed

abc: 3.6541 5.9318 11.2990
angles: 90.00 90.00 90.00
Space group Imm2 (No. 44)
Asymmetric unit:
Sr1 0.0000 0.0000 0.0000 x2
Sr2 0.0000 0.5000 0.1941 x2
Zr1 0.0000 0.0000 0.3884 x2
Tc1 0.0000 0.5000 0.7386 x2

Summary:
total magnetic moment = 0.000 μB/f.u.


Energetically preferred structure: run x | next structure: +49 meV/atom


Run w
Compound: SrZrTc
Source: Alexandria
Functional: PBE
Structure: relaxed

abc: 4.7022 4.7022 3.7128
angles: 90.00 90.00 120.00
Space group P3m1 (No. 156)
Asymmetric unit:
Sr1 0.0000 0.0000 0.0000 x1
Zr1 0.3333 0.6667 0.5522 x1
Tc1 0.6667 0.3333 0.3923 x1

Summary:
total magnetic moment = 0.000 μB/f.u.


Run x
Compound: SrZrTc
Source: Alexandria
Functional: PBE
Structure: relaxed

abc: 3.5065 3.5065 7.3296
angles: 90.00 90.00 120.00
Space group P3m1 (No. 156)
Asymmetric unit:
Sr1 0.0000 0.0000 0.0000 x1
Zr1 0.3333 0.6667 0.5568 x1
Tc1 0.6667 0.3333 0.3300 x1

Summary:
total magnetic moment = 0.000 μB/f.u.


Energetically preferred structure: run x | next structure: +127 meV/atom


Run w
Compound: SrZrTc
Source: Alexandria
Functional: PBE
Structure: relaxed

abc: 3.4765 3.4765 12.6228
angles: 90.00 90.00 90.00
Space group I4mm (No. 107)
Asymmetric unit:
Sr1 0.0000 0.0000 0.0000 x2
Zr1 0.0000 0.0000 0.7317 x2
Tc1 0.0000 0.0000 0.3255 x2

Summary:
total magnetic moment = 0.000 μB/f.u.


Run x
Compound: SrZrTc
Source: Alexandria
Functional: PBE
Structure: relaxed

abc: 6.7615 6.7615 6.7615
angles: 90.00 90.00 90.00
Space group F-43m (No. 216)
Asymmetric unit:
Sr1 0.0000 0.0000 0.0000 x4
Zr1 0.0000 0.0000 0.5000 x4
Tc1 0.2500 0.2500 0.2500 x4

Summary:
total magnetic moment = 0.000 μB/f.u.


Energetically preferred structure: run w | next structure: +479 meV/atom


Run w
Compound: SrZr3Tc
Source: Alexandria
Functional: PBE
Structure: relaxed

abc: 5.1829 5.1829 5.1829
angles: 90.00 90.00 90.00
Space group Pm-3m (No. 221)
Asymmetric unit:
Sr1 0.0000 0.0000 0.0000 x1
Zr1 0.0000 0.5000 0.5000 x3
Tc1 0.5000 0.5000 0.5000 x1

Summary:
total magnetic moment = 0.000 μB/f.u.


Run x
Compound: SrZr3Tc
Source: Alexandria
Functional: PBE
Structure: relaxed

abc: 4.9744 4.9744 4.9744
angles: 90.00 90.00 90.00
Space group Pm-3m (No. 221)
Asymmetric unit:
Sr1 0.0000 0.0000 0.0000 x1
Zr1 0.0000 0.0000 0.5000 x3
Tc1 0.5000 0.5000 0.5000 x1

Summary:
total magnetic moment = 0.000 μB/f.u.


Energetically preferred structure: run w | next structure: +1946 meV/atom


Run w
Compound: Sr3Te5
Source: Alexandria
Functional: PBE
Structure: relaxed

abc: 8.1889 10.7606 6.0266
angles: 90.00 90.00 90.00
Space group Cmmm (No. 65)
Asymmetric unit:
Sr1 0.0000 0.0000 0.0000 x2
Sr2 0.0000 0.2887 0.5000 x4
Te1 0.0000 0.5000 0.0000 x2
Te2 0.1909 0.0000 0.5000 x4
Te3 0.2500 0.2500 0.0000 x4

Summary:
total magnetic moment = 0.000 μB/f.u.


Run x
Compound: Sr3Te5
Source: Alexandria
Functional: PBE
Structure: relaxed

abc: 10.0880 10.0880 6.5038
angles: 90.00 90.00 120.00
Space group P6_3/mcm (No. 193)
Asymmetric unit:
Sr1 0.0000 0.3641 0.2500 x6
Te1 0.0000 0.2918 0.7500 x6
Te2 0.3333 0.6667 0.0000 x4

Summary:
total magnetic moment = 0.000 μB/f.u.


Energetically preferred structure: run w | next structure: +58 meV/atom


Run w
Compound: Sr4Te3
Source: Alexandria
Functional: PBE
Structure: relaxed

abc: 4.6813 4.6813 45.8871
angles: 90.00 90.00 120.00
Space group R-3m (No. 166, hexagonal axes)
Asymmetric unit:
Sr1 0.0000 0.0000 0.1242 x6
Sr2 0.0000 0.0000 0.3715 x6
Te1 0.0000 0.0000 0.2524 x6
Te2 0.0000 0.0000 0.5000 x3

Summary:
total magnetic moment = 0.000 μB/f.u.


Run x
Compound: Sr4Te3
Source: Alexandria
Functional: PBE
Structure: relaxed

abc: 6.7837 6.7837 6.5985
angles: 90.00 90.00 120.00
Space group P6/mmm (No. 191)
Asymmetric unit:
Sr1 0.0000 0.0000 0.2354 x2
Sr2 0.3333 0.6667 0.5000 x2
Te1 0.0000 0.5000 0.0000 x3

Summary:
total magnetic moment = 0.000 μB/f.u.


Energetically preferred structure: run w | next structure: +866 meV/atom


Run w
Compound: Sr5Te
Source: Alexandria
Functional: PBE
Structure: relaxed

abc: 14.4646 4.2347 10.2851
angles: 90.00 112.80 90.00
Space group C2/m (No. 12)
Asymmetric unit:
Sr1 0.0000 0.0000 0.0000 x2
Sr2 0.1264 0.5000 0.3727 x4
Sr3 0.1733 0.5000 0.7920 x4
Te1 0.0000 0.0000 0.5000 x2

Summary:
total magnetic moment = 0.000 μB/f.u.


Run x
Compound: Sr5Te
Source: Alexandria
Functional: PBE
Structure: relaxed

abc: 10.6464 10.6464 10.6464
angles: 90.00 90.00 90.00
Space group F-43m (No. 216)
Asymmetric unit:
Sr1 0.0000 0.0000 0.0000 x4
Sr2 0.1250 0.1250 0.6250 x16
Te1 0.2500 0.2500 0.2500 x4

Summary:
total magnetic moment = 0.000 μB/f.u.


Run y
Compound: Sr5Te
Source: Alexandria
Functional: PBE
Structure: relaxed

abc: 6.3907 4.7022 18.6118
angles: 90.00 90.00 90.00
Space group Amm2 (No. 38)
Asymmetric unit:
Sr1 0.0000 0.0000 0.0000 x2
Sr2 0.0000 0.0000 0.2890 x2
Sr3 0.5000 0.0000 0.1446 x2
Sr4 0.5000 0.0000 0.4735 x2
Sr5 0.5000 0.0000 0.8159 x2
Te1 0.0000 0.0000 0.6443 x2

Summary:
total magnetic moment = 0.000 μB/f.u.


Energetically preferred structure: run w | next structure: +110 meV/atom


Run w
Compound: SrTiTe3
Source: Alexandria
Functional: PBE
Structure: relaxed

abc: 5.4375 5.4375 5.4375
angles: 90.00 90.00 90.00
Space group Pm-3m (No. 221)
Asymmetric unit:
Sr1 0.0000 0.0000 0.0000 x1
Ti1 0.5000 0.5000 0.5000 x1
Te1 0.0000 0.5000 0.5000 x3

Summary:
total magnetic moment = 0.000 μB/f.u.


Run x
Compound: SrTiTe3
Source: Alexandria
Functional: PBE
Structure: relaxed

abc: 5.9953 5.9953 5.9953
angles: 90.00 90.00 90.00
Space group Pm-3m (No. 221)
Asymmetric unit:
Sr1 0.0000 0.0000 0.0000 x1
Ti1 0.5000 0.5000 0.5000 x1
Te1 0.0000 0.0000 0.5000 x3

Summary:
total magnetic moment = 0.269 μB/f.u.


Energetically preferred structure: run w | next structure: +1455 meV/atom


Run w
Compound: SrTi3Te
Source: Alexandria
Functional: PBE
Structure: relaxed

abc: 5.1546 5.1546 5.1546
angles: 90.00 90.00 90.00
Space group Pm-3m (No. 221)
Asymmetric unit:
Sr1 0.0000 0.0000 0.0000 x1
Ti1 0.0000 0.5000 0.5000 x3
Te1 0.5000 0.5000 0.5000 x1

Summary:
total magnetic moment = 0.000 μB/f.u.


Run x
Compound: SrTi3Te
Source: Alexandria
Functional: PBE
Structure: relaxed

abc: 4.8848 4.8848 4.8848
angles: 90.00 90.00 90.00
Space group Pm-3m (No. 221)
Asymmetric unit:
Sr1 0.0000 0.0000 0.0000 x1
Ti1 0.0000 0.0000 0.5000 x3
Te1 0.5000 0.5000 0.5000 x1

Summary:
total magnetic moment = 1.159 μB/f.u.


Energetically preferred structure: run w | next structure: +1203 meV/atom


Run w
Compound: Sr2TiTe2
Source: Alexandria
Functional: PBE
Structure: relaxed

abc: 6.2065 6.2065 10.9293
angles: 90.00 90.00 90.00
Space group I4/mmm (No. 139)
Asymmetric unit:
Sr1 0.0000 0.0000 0.1830 x4
Ti1 0.0000 0.0000 0.5000 x2
Te1 0.0000 0.5000 0.2500 x4

Summary:
total magnetic moment = 3.462 μB/f.u.


Run x
Compound: Sr2TiTe2
Source: Alexandria
Functional: PBE
Structure: relaxed

abc: 9.0467 9.0467 4.1211
angles: 90.00 90.00 90.00
Space group P4/mbm (No. 127)
Asymmetric unit:
Sr1 0.1428 0.3572 0.0000 x4
Ti1 0.0000 0.0000 0.0000 x2
Te1 0.1626 0.6626 0.5000 x4

Summary:
total magnetic moment = 2.991 μB/f.u.


Energetically preferred structure: run x | next structure: +272 meV/atom


Run w
Compound: Sr2TlTe2
Source: Alexandria
Functional: PBE
Structure: relaxed

abc: 9.0626 9.0626 4.3246
angles: 90.00 90.00 90.00
Space group P4/mbm (No. 127)
Asymmetric unit:
Sr1 0.1538 0.3462 0.0000 x4
Tl1 0.0000 0.0000 0.5000 x2
Te1 0.1500 0.6500 0.5000 x4

Summary:
total magnetic moment = 0.000 μB/f.u.


Run x
Compound: Sr2TlTe2
Source: Alexandria
Functional: PBE
Structure: relaxed

abc: 5.6194 5.6194 14.4745
angles: 90.00 90.00 90.00
Space group I4/mmm (No. 139)
Asymmetric unit:
Sr1 0.0000 0.5000 0.2500 x4
Tl1 0.0000 0.0000 0.0000 x2
Te1 0.0000 0.0000 0.3636 x4

Summary:
total magnetic moment = 0.000 μB/f.u.


Run y
Compound: Sr2TlTe2
Source: Alexandria
Functional: PBE
Structure: relaxed

abc: 9.1058 9.1058 4.2665
angles: 90.00 90.00 90.00
Space group P4/mbm (No. 127)
Asymmetric unit:
Sr1 0.1462 0.3538 0.0000 x4
Tl1 0.0000 0.0000 0.0000 x2
Te1 0.1585 0.6585 0.5000 x4

Summary:
total magnetic moment = 0.000 μB/f.u.


Energetically preferred structure: run w | next structure: +147 meV/atom


Run w
Compound: Sr2TlTe
Source: Alexandria
Functional: PBE
Structure: relaxed

abc: 4.2070 4.3596 17.3330
angles: 90.00 90.00 90.00
Space group Imm2 (No. 44)
Asymmetric unit:
Sr1 0.0000 0.0000 0.0000 x2
Sr2 0.0000 0.5000 0.2325 x2
Tl1 0.0000 0.5000 0.8368 x2
Te1 0.0000 0.0000 0.5810 x2

Summary:
total magnetic moment = 0.674 μB/f.u.


Run x
Compound: Sr2TlTe
Source: Alexandria
Functional: PBE
Structure: relaxed

abc: 5.4048 5.4048 9.3800
angles: 90.00 90.00 90.00
Space group I4/mmm (No. 139)
Asymmetric unit:
Sr1 0.0000 0.5000 0.2500 x4
Tl1 0.0000 0.0000 0.0000 x2
Te1 0.0000 0.0000 0.5000 x2

Summary:
total magnetic moment = 0.000 μB/f.u.


Run y
Compound: Sr2TlTe
Source: Alexandria
Functional: PBE
Structure: relaxed

abc: 4.1345 4.1345 8.0692
angles: 90.00 90.00 90.00
Space group P4/mmm (No. 123)
Asymmetric unit:
Sr1 0.0000 0.0000 0.2418 x2
Tl1 0.5000 0.5000 0.5000 x1
Te1 0.5000 0.5000 0.0000 x1

Summary:
total magnetic moment = 0.000 μB/f.u.


Energetically preferred structure: run y | next structure: +88 meV/atom